# 1
MnHg2 | PBE | relaxed

Cell lengths 13.082, 13.082, 13.082 Å; angles 166.38, 166.38, 19.31 degrees
Fractional positions:
Mn: 0.375 0.625 0.750
Mn: 0.625 0.375 0.250
Hg: 0.051 0.801 0.250
Hg: 0.199 0.949 0.250
Hg: 0.801 0.051 0.750
Hg: 0.949 0.199 0.750

## Properties
Energy relative to the elements ... 0.29 eV/atom
D(E_F) ... 5.00 states/eV per cell

# 2
MnAlSb | PBE | relaxed

Cell lengths 6.643, 6.643, 6.643 Å; angles 153.65, 153.65, 37.60 degrees
Fractional positions:
Mn: 0.000 0.000 0.000
Al: 0.622 0.622 0.000
Sb: 0.346 0.346 0.000

## Properties
Energy relative to the lowest polymorph listed for this composition ... 120.1 meV per atom
D(E_F) ... 1.75 states/eV per cell
Formation energy from raw total energies ... 0.176 eV per atom

> D(E_F) of number 1 (MnHg2)?

5.00 states/eV per cell

> Which value of D(E_F) does entry 2 give?

1.75 states/eV per cell

> Which of these has the highest D(E_F)?

MnHg2

What did the first record say?
MnHg2 | PBE | relaxed

Cell lengths 13.082, 13.082, 13.082 Å; angles 166.38, 166.38, 19.31 degrees
Fractional positions:
Mn: 0.375 0.625 0.750
Mn: 0.625 0.375 0.250
Hg: 0.051 0.801 0.250
Hg: 0.199 0.949 0.250
Hg: 0.801 0.051 0.750
Hg: 0.949 0.199 0.750

## Properties
Energy relative to the elements ... 0.29 eV/atom
D(E_F) ... 5.00 states/eV per cell